KLaHg2: relaxed, PBEsol.

```
data_KLaHg2
_space_group_name_H-M_alt 'P 1'
_space_group_IT_number 1
_space_group_name_Hall 'P 1'
_cell_length_a 5.236
_cell_length_b 5.236
_cell_length_c 5.236
_cell_angle_alpha 60.00
_cell_angle_beta 60.00
_cell_angle_gamma 60.00
loop_
_atom_site_label
_atom_site_type_symbol
_atom_site_fract_x
_atom_site_fract_y
_atom_site_fract_z
K1 K 0.000 0.000 0.000
La1 La 0.250 0.250 0.250
Hg1 Hg 0.500 0.500 0.500
Hg2 Hg 0.750 0.750 0.750
```

Computed properties:
Magnetization in μB per formula unit: 0.000
N(E_F) in states/eV/f.u.: 0.7
Mass density in g/cm³: 9.47
Formation enthalpy at 0 K in eV/atom: -0.183
Space-group type: F-43m